Entry from the Alexandria database: Cs2CrNi2S4 after structural relaxation (PBE).

Lattice parameters (Å, degrees): 14.101 3.823 7.740 90.00 106.83 90.00
Space group C2/m (No. 12)
Unique sites:
Cs1 0.136 0.000 0.058 (multiplicity 4)
Cr1 0.000 0.000 0.500 (multiplicity 2)
Ni1 0.187 0.500 0.488 (multiplicity 4)
S1 0.022 0.500 0.309 (multiplicity 4)
S2 0.183 0.000 0.630 (multiplicity 4)

Formation energy without anion corrections in meV per atom: -667
Calculated total energy in eV per formula unit: -45.406